Computed, not measured: crystalline Si2BrCl at its relaxed geometry at the GGA-PBE level of DFT.

```
data_Si2BrCl
_chemical_formula_sum 'Si2 Br1 Cl1'
_cell_length_a 3.594
_cell_length_b 3.594
_cell_length_c 8.802
_cell_angle_alpha 90.00
_cell_angle_beta 90.00
_cell_angle_gamma 115.76
_space_group_name_H-M_alt 'P 1'
_space_group_IT_number 1
_space_group_name_Hall 'P 1'
loop_
_atom_site_label
_atom_site_type_symbol
_atom_site_fract_x
_atom_site_fract_y
_atom_site_fract_z
Si1 Si 0.000 0.000 0.000
Si2 Si 0.500 0.500 0.156
Br1 Br 0.000 0.000 0.367
Cl1 Cl 0.500 0.500 0.809
```

Computed properties:
DOS at the Fermi energy	0.8	states/eV/f.u.
energy above the most stable polymorph in this dataset	0.515	eV/atom
uncorrected formation energy	60	kJ/mol of formula units
total magnetic moment	0.0	μB per cell